Entry 1:
{
  "formula": "Li2YSe",
  "functional": "PBE",
  "state": "optimized geometry",
  "n_ef_per_ev_cell": 3.9,
  "sg": "No. 139",
  "crystal_system": "tetragonal",
  "cell": [[6.4816, -0.0004, 0.0000], [3.9960, 5.1033, 0.0000], [-5.2388, -2.5514, 2.8384]],
  "species": ["Li", "Li", "Se", "Y"],
  "fractional_positions": [[0.0000, 0.0000, 0.0000], [0.5000, 0.5000, 0.0000], [0.2500, 0.7500, 0.5000], [0.7500, 0.2500, 0.5000]]
}

---

Entry 2:
{
  "formula": "Li3YZr2Se6",
  "functional": "PBE",
  "state": "optimized geometry",
  "n_ef_per_ev_cell": 4.4,
  "sg": "No. 12",
  "crystal_system": "monoclinic",
  "cell": [[-1.0878, 0.9528, 6.5374], [-5.0068, -1.9978, -3.9710], [3.6093, -5.9319, 0.3196]],
  "species": ["Li", "Li", "Li", "Y", "Zr", "Zr", "Se", "Se", "Se", "Se", "Se", "Se"],
  "fractional_positions": [[0.1639, 0.8361, 0.5000], [0.8361, 0.1639, 0.5000], [0.5000, 0.5000, 0.5000], [0.0000, 0.0000, 0.0000], [0.3332, 0.6668, 0.0000], [0.6668, 0.3332, 0.0000], [0.9153, 0.5705, 0.7465], [0.7402, 0.7402, 0.2542], [0.0847, 0.4295, 0.2535], [0.5705, 0.9153, 0.7465], [0.2598, 0.2598, 0.7458], [0.4295, 0.0847, 0.2535]]
}

---

Computed formation energy without anion corrections, in the same sequence as the records: -2.46, -17.17 eV per formula unit.